# MgAl2Si, relaxed, DFT PBE-GGA
# theoretical density = 2.49 Mg/m³
# raw formation energy = 0.091 eV per atom
# N(E_F) = 1.513 states/eV/f.u.
# E_tot = -14.14 eV per formula unit
data_MgAl2Si
_chemical_formula_sum 'Mg2 Al4 Si2'
_cell_length_a 2.940
_cell_length_b 4.675
_cell_length_c 10.328
_cell_angle_alpha 90.00
_cell_angle_beta 90.00
_cell_angle_gamma 90.00
_symmetry_space_group_name_H-M 'I m m m'
_symmetry_Int_Tables_number 71
_symmetry_space_group_name_Hall '-I 2 2'
loop_
_atom_site_label
_atom_site_type_symbol
_atom_site_fract_x
_atom_site_fract_y
_atom_site_fract_z
Mg1 Mg 0.000 0.000 0.000
Al1 Al 0.000 0.500 0.218
Si1 Si 0.000 0.000 0.500